Entry 1:
# Pr2Sm5Dy5 | Alexandria via LeMat-Bulk | PBE-GGA | optimized geometry
# E_form ... 0.017 eV/atom
# VASP energy ... -4.663 eV/atom
# Symmetry ... C2/m
# V ... 33.17 A^3/atom
# Total magnetic moment ... 0.00 Bohr magnetons per cell
data_Pr2Sm5Dy5
_space_group_name_H-M_alt 'P 1'
_space_group_IT_number 1
_cell_length_a 5.098
_cell_length_b 8.068
_cell_length_c 10.822
_cell_angle_alpha 72.63
_cell_angle_beta 76.38
_cell_angle_gamma 71.58
loop_
_space_group_symop_operation_xyz
'x,y,z'
loop_
_atom_site_label
_atom_site_fract_x
_atom_site_fract_y
_atom_site_fract_z
_atom_site_occupancy
Sm1 0.415 0.920 0.251 1
Sm2 0.500 0.500 0.500 1
Sm3 0.585 0.080 0.749 1
Sm4 0.334 0.332 0.000 1
Sm5 0.666 0.668 0.000 1
Pr1 0.917 0.417 0.749 1
Pr2 0.083 0.583 0.251 1
Dy1 0.249 0.752 0.750 1
Dy2 0.169 0.163 0.499 1
Dy3 0.000 0.000 0.000 1
Dy4 0.831 0.837 0.501 1
Dy5 0.751 0.248 0.250 1

---

Entry 2:
# Pr4SmDy | Alexandria via LeMat-Bulk | PBE-GGA | optimized geometry
# E_form ... 0.261 eV/atom
# VASP energy ... -4.479 eV/atom
# Symmetry ... F-43m
# E above lowest polymorph ... 0.243 eV/atom
# V ... 36.11 A^3/atom
# Total magnetic moment ... 0.00 Bohr magnetons per cell
data_Pr4SmDy
_space_group_name_H-M_alt 'P 1'
_space_group_IT_number 1
_cell_length_a 6.742
_cell_length_b 6.742
_cell_length_c 6.742
_cell_angle_alpha 60.00
_cell_angle_beta 60.00
_cell_angle_gamma 60.00
loop_
_space_group_symop_operation_xyz
'x,y,z'
loop_
_atom_site_label
_atom_site_fract_x
_atom_site_fract_y
_atom_site_fract_z
_atom_site_occupancy
Dy1 0.000 0.000 0.000 1
Pr1 0.625 0.625 0.124 1
Pr2 0.124 0.625 0.625 1
Pr3 0.625 0.625 0.625 1
Pr4 0.625 0.124 0.625 1
Sm1 0.250 0.250 0.250 1

---

Entry 3:
# PrSm5Dy | Alexandria via LeMat-Bulk | PBE-GGA | optimized geometry
# E_form ... 0.872 eV/atom
# VASP energy ... -3.839 eV/atom
# Symmetry ... Imm2
# E above lowest polymorph ... 0.702 eV/atom
# V ... 42.29 A^3/atom
# Total magnetic moment ... 0.00 Bohr magnetons per cell
data_PrSm5Dy
_space_group_name_H-M_alt 'P 1'
_space_group_IT_number 1
_cell_length_a 6.266
_cell_length_b 8.014
_cell_length_c 7.786
_cell_angle_alpha 120.97
_cell_angle_beta 113.73
_cell_angle_gamma 90.00
loop_
_space_group_symop_operation_xyz
'x,y,z'
loop_
_atom_site_label
_atom_site_fract_x
_atom_site_fract_y
_atom_site_fract_z
_atom_site_occupancy
Sm1 0.167 0.500 0.000 1
Sm2 0.432 0.180 0.000 1
Sm3 0.432 0.820 0.000 1
Sm4 0.188 0.253 0.505 1
Sm5 0.683 0.747 0.495 1
Dy1 0.696 0.500 0.000 1
Pr1 0.931 0.000 0.000 1

---

Entry 4:
# PrSm3Dy3 | Alexandria via LeMat-Bulk | PBE-GGA | optimized geometry
# E_form ... 0.230 eV/atom
# VASP energy ... -4.447 eV/atom
# Symmetry ... R3m
# E above lowest polymorph ... 0.025 eV/atom
# V ... 33.86 A^3/atom
# Total magnetic moment ... 0.00 Bohr magnetons per cell
data_PrSm3Dy3
_space_group_name_H-M_alt 'P 1'
_space_group_IT_number 1
_cell_length_a 8.217
_cell_length_b 6.388
_cell_length_c 6.388
_cell_angle_alpha 102.96
_cell_angle_beta 115.39
_cell_angle_gamma 115.39
loop_
_space_group_symop_operation_xyz
'x,y,z'
loop_
_atom_site_label
_atom_site_fract_x
_atom_site_fract_y
_atom_site_fract_z
_atom_site_occupancy
Dy1 0.016 0.598 0.598 1
Dy2 0.417 0.402 0.000 1
Dy3 0.417 0.000 0.402 1
Sm1 0.975 0.360 0.000 1
Sm2 0.975 0.000 0.360 1
Sm3 0.614 0.640 0.640 1
Pr1 0.561 0.000 0.000 1

---

Look up the E_form of the second one.
0.261 eV/atom

---

total magnetic moment of number 1 (Pr2Sm5Dy5)?
0.00 Bohr magnetons per cell